No. 1
A relaxed structure of Ni2MoP. Source: Alexandria via LeMat-Bulk, functional PBE.

```
Ni2MoP
1.0
-1.410 2.052 4.223
1.410 -2.052 4.223
1.410 2.052 -4.223
Ni Mo P
2 1 1
direct
0.220 0.220 0.000
0.780 0.780 0.000
0.500 0.000 0.500
0.000 0.500 0.500
```

Energy of formation   -215 meV/atom


No. 2
A relaxed structure of Ni2MoP. Source: Alexandria via LeMat-Bulk, functional PBE.

```
Ni2MoP
1.0
-1.751 1.751 8.627
1.751 -1.751 8.627
1.751 1.751 -8.627
Ni Mo P
4 2 2
direct
0.108 0.625 0.983
0.375 0.358 0.483
0.642 0.125 0.017
0.875 0.892 0.517
0.250 0.750 0.500
0.500 0.500 0.000
0.000 0.000 0.000
0.750 0.250 0.500
```

Energy of formation   128 meV/atom


No. 3
A relaxed structure of Ni21Mo2P6. Source: Alexandria via LeMat-Bulk, functional PBE.

```
Ni21Mo2P6
1.0
0.000 5.522 5.522
5.522 0.000 5.522
5.522 5.522 0.000
Ni Mo P
21 2 6
direct
0.000 0.000 0.000
0.000 0.000 0.349
0.000 0.000 0.651
0.000 0.349 0.000
0.000 0.349 0.651
0.000 0.651 0.000
0.000 0.651 0.349
0.144 0.619 0.619
0.349 0.000 0.000
0.349 0.000 0.651
0.349 0.651 0.000
0.381 0.381 0.381
0.381 0.381 0.856
0.381 0.856 0.381
0.619 0.144 0.619
0.619 0.619 0.144
0.619 0.619 0.619
0.651 0.000 0.000
0.651 0.000 0.349
0.651 0.349 0.000
0.856 0.381 0.381
0.250 0.250 0.250
0.750 0.750 0.750
0.262 0.262 0.738
0.262 0.738 0.262
0.262 0.738 0.738
0.738 0.262 0.262
0.738 0.262 0.738
0.738 0.738 0.262
```

Energy of formation   -283 meV/atom


No. 4
A relaxed structure of Ni2MoP. Source: Alexandria via LeMat-Bulk, functional PBE.

```
Ni2MoP
1.0
2.920 0.000 0.000
0.000 2.920 0.000
0.000 0.000 5.735
Ni Mo P
2 1 1
direct
0.000 0.000 0.000
0.500 0.500 0.254
0.500 0.500 0.731
0.000 0.000 0.437
```

Energy of formation   -131 meV/atom